Compound: NbAl2CrSb
Source: Alexandria
Functional: meta-GGA SCAN
Structure: PBEsol geometry

Values from the calculation:
The density of states at the Fermi level comes out at 4.6 states/eV per cell. Its symmetry is P4/mmm. For the calculated total energy, the calculation gives -19.470 eV per atom. The density is 4.1 g cm⁻³. Its spin magnetization is 2.62 Bohr magnetons per cell. The formation energy (no corrections) is 6.93 eV per formula unit.

a = 5.0658 Å, b = 5.0658 Å, c = 5.1080 Å
α = 90.00°, β = 90.00°, γ = 90.00°
With the nearest neighbours (Å) after each atom.
Fractional coordinates of all 5 atoms:
Nb (0.0000, 0.0000, 0.0000)  2 Sb 2.55
Al (0.0000, 0.5000, 0.5000)  2 Sb 2.53
Al (0.5000, 0.0000, 0.5000)  2 Sb 2.53
Cr (0.5000, 0.5000, 0.0000)  4 Nb 3.58, 8 Al 3.60
Sb (0.0000, 0.0000, 0.5000)  4 Al 2.53, 2 Nb 2.55